Entry from Alexandria via LeMat-Bulk: CrHAu after structural relaxation (PBE).

Computed properties:
**Energy above the most stable polymorph in this dataset**: 0.060 eV/atom
**ρ**: 11.4 g cm⁻³

a b c (Å): 5.2636 3.2110 8.5851
angles (deg): 90.00 90.00 90.00
Closest atoms and distances in Å follow each position.
Fractional positions:
H 0.4810 0.7500 0.3669  3 Cr 1.74-1.82
H 0.5190 0.2500 0.6331  3 Cr 1.74-1.82
H 0.0190 0.2500 0.8669  3 Cr 1.74-1.82
H 0.9810 0.7500 0.1331  3 Cr 1.74-1.82
Au 0.0917 0.7500 0.6415  4 H 2.54-2.76, 4 Cr 2.62-2.78
Au 0.4083 0.2500 0.1415  4 H 2.54-2.76, 4 Cr 2.62-2.78
Au 0.9083 0.2500 0.3585  4 H 2.54-2.76, 4 Cr 2.62-2.78
Au 0.5917 0.7500 0.8585  4 H 2.54-2.76, 4 Cr 2.62-2.78
Cr 0.1153 0.7500 0.9483  3 H 1.74-1.82
Cr 0.3847 0.2500 0.4483  3 H 1.74-1.82
Cr 0.8847 0.2500 0.0517  3 H 1.74-1.82
Cr 0.6153 0.7500 0.5517  3 H 1.74-1.82

---

Entry from Alexandria via LeMat-Bulk: CrHAu after structural relaxation (PBE).

Computed properties:
**Energy above the most stable polymorph in this dataset**: 0.000 eV/atom
**ρ**: 11.7 g cm⁻³

a b c (Å): 4.5333 3.0041 3.0041
angles (deg): 120.00 90.00 90.00
Closest atoms and distances in Å follow each position.
Fractional positions:
Au 0.6652 0.6667 0.3333  6 H 2.83-2.88, 6 Cr 2.85-2.86, 6 Au 3.00
Cr 0.1637 0.0000 0.0000  3 H 1.73
H 0.1711 0.3333 0.6667  3 Cr 1.73

---

Entry from Alexandria via LeMat-Bulk: Cr2H2Au after structural relaxation (PBE).

Computed properties:
**E**: -28.3 eV per cell
**ρ**: 10.7 g cm⁻³

a b c (Å): 3.3017 3.3017 4.9050
angles (deg): 70.33 70.33 90.00
Closest atoms and distances in Å follow each position.
Fractional positions:
Cr 0.3278 0.3278 0.3444  4 H 1.78
Cr 0.6722 0.6722 0.6556  4 H 1.78
H 0.2500 0.7500 0.5000  4 Cr 1.78
H 0.7500 0.2500 0.5000  4 Cr 1.78
Au 0.0000 0.0000 0.0000  8 H 2.72, 10 Cr 2.77-2.83

---

Entry from Alexandria via LeMat-Bulk: Hf2CrHAu after structural relaxation (PBE).

Computed properties:
**E**: -37.2 eV per cell
**ρ**: 13.7 g cm⁻³

a b c (Å): 4.5629 4.5629 3.5390
angles (deg): 90.00 90.00 90.00
Closest atoms and distances in Å follow each position.
Fractional positions:
Au 0.5000 0.5000 0.5000  8 Hf 2.89, 4 Cr 3.23
Hf 0.5000 0.0000 0.0000  2 H 2.28
Hf 0.0000 0.5000 0.0000  2 H 2.28
Cr 0.0000 0.0000 0.5000  2 H 1.77
H 0.0000 0.0000 0.0000  2 Cr 1.77

---

Entry from Alexandria via LeMat-Bulk: K2CrH6Au after structural relaxation (PBE).

Computed properties:
**E**: -35.7 eV per cell
**ρ**: 4.3 g cm⁻³

a b c (Å): 5.2259 5.2259 5.9951
angles (deg): 64.16 64.16 90.00
Closest atoms and distances in Å follow each position.
Fractional positions:
H 0.2504 0.7496 0.0000  1 Au 1.84, 1 Cr 1.85
H 0.7496 0.7496 0.0001  1 Au 1.84, 1 Cr 1.85
H 0.1852 0.1852 0.6295  1 Cr 1.75
H 0.7496 0.2504 0.0000  1 Au 1.84, 1 Cr 1.85
H 0.8148 0.8148 0.3705  1 Cr 1.75
H 0.2504 0.2504 0.9999  1 Au 1.84, 1 Cr 1.85
Cr 0.0000 0.0000 0.0000  6 H 1.75-1.85
K 0.2500 0.7500 0.5000  12 H 2.68-3.00
K 0.7500 0.2500 0.5000  12 H 2.68-3.00
Au 0.5000 0.5000 0.0000  4 H 1.84

---

Entry from Alexandria via LeMat-Bulk: Li2CrHAu after structural relaxation (PBE).

Computed properties:
**E**: -20.9 eV per cell
**ρ**: 7.1 g cm⁻³

a b c (Å): 3.9921 3.9921 3.8849
angles (deg): 90.00 90.00 90.00
Closest atoms and distances in Å follow each position.
Fractional positions:
H 0.0000 0.0000 0.0000  2 Cr 1.94, 4 Li 2.00
Li 0.0000 0.5000 0.0000  2 H 2.00
Li 0.5000 0.0000 0.0000  2 H 2.00
Au 0.5000 0.5000 0.5000  8 Li 2.79, 4 Cr 2.82
Cr 0.0000 0.0000 0.5000  2 H 1.94

---

Entry from Alexandria via LeMat-Bulk: Mn2CrHAu after structural relaxation (PBE).

Computed properties:
**E**: -34.4 eV per cell
**ρ**: 10.4 g cm⁻³

a b c (Å): 3.8328 3.8328 3.9101
angles (deg): 90.00 90.00 90.00
Closest atoms and distances in Å follow each position.
Fractional positions:
Au 0.5000 0.5000 0.5000  4 Cr 2.71, 8 Mn 2.74
Mn 0.0000 0.5000 0.0000  2 H 1.92
Mn 0.5000 0.0000 0.0000  2 H 1.92
H 0.0000 0.0000 0.0000  4 Mn 1.92, 2 Cr 1.96
Cr 0.0000 0.0000 0.5000  2 H 1.96

---

Entry from Alexandria via LeMat-Bulk: CrMo2HAu after structural relaxation (PBE).

Computed properties:
**E**: -37.1 eV per cell
**ρ**: 11.7 g cm⁻³

a b c (Å): 3.9679 3.9679 3.9971
angles (deg): 90.00 90.00 90.00
Closest atoms and distances in Å follow each position.
Fractional positions:
Cr 0.0000 0.0000 0.5000  2 H 2.00
Mo 0.5000 0.0000 0.0000  2 H 1.98
Mo 0.0000 0.5000 0.0000  2 H 1.98
Au 0.5000 0.5000 0.5000  4 Cr 2.81, 8 Mo 2.82
H 0.0000 0.0000 0.0000  4 Mo 1.98, 2 Cr 2.00

---

Entry from Alexandria via LeMat-Bulk: Nb2CrHAu after structural relaxation (PBE).

Computed properties:
**E**: -36.4 eV per cell
**ρ**: 10.7 g cm⁻³

a b c (Å): 4.1553 4.1553 3.9133
angles (deg): 90.00 90.00 90.00
Closest atoms and distances in Å follow each position.
Fractional positions:
Nb 0.5000 0.0000 0.0000  2 H 2.08
Nb 0.0000 0.5000 0.0000  2 H 2.08
Cr 0.0000 0.0000 0.5000  2 H 1.96
H 0.0000 0.0000 0.0000  2 Cr 1.96, 4 Nb 2.08
Au 0.5000 0.5000 0.5000  8 Nb 2.85, 4 Cr 2.94

---

Entry from Alexandria via LeMat-Bulk: Cr2NiHAu after structural relaxation (PBE).

Computed properties:
**E**: -30.7 eV per cell
**ρ**: 11.0 g cm⁻³

a b c (Å): 3.7421 3.7421 3.8983
angles (deg): 90.00 90.00 90.00
Closest atoms and distances in Å follow each position.
Fractional positions:
Ni 0.0000 0.0000 0.5000  2 H 1.95
Au 0.5000 0.5000 0.5000  4 Ni 2.65, 8 Cr 2.70
H 0.0000 0.0000 0.0000  4 Cr 1.87, 2 Ni 1.95
Cr 0.0000 0.5000 0.0000  2 H 1.87
Cr 0.5000 0.0000 0.0000  2 H 1.87

---

Entry from Alexandria via LeMat-Bulk: CrNi2HAu after structural relaxation (PBE).

Computed properties:
**E**: -27.6 eV per cell
**ρ**: 11.0 g cm⁻³

a b c (Å): 3.7886 3.7886 3.8653
angles (deg): 90.00 90.00 90.00
Closest atoms and distances in Å follow each position.
Fractional positions:
H 0.0000 0.0000 0.0000  4 Ni 1.89, 2 Cr 1.93
Au 0.5000 0.5000 0.5000  4 Cr 2.68, 8 Ni 2.71
Ni 0.0000 0.5000 0.0000  2 H 1.89
Ni 0.5000 0.0000 0.0000  2 H 1.89
Cr 0.0000 0.0000 0.5000  2 H 1.93

---

Entry from Alexandria via LeMat-Bulk: RbCrH2Au after structural relaxation (PBE).

Computed properties:
**Energy above the most stable polymorph in this dataset**: 0.000 eV/atom
**ρ**: 5.8 g cm⁻³

a b c (Å): 4.2847 5.2098 4.2847
angles (deg): 90.00 90.00 90.00
Closest atoms and distances in Å follow each position.
Fractional positions:
Cr 0.0000 0.5000 0.0000  2 Au 2.60
Au 0.0000 0.0000 0.0000  4 H 2.14
H 0.5000 0.0000 0.0000  2 Au 2.14
H 0.0000 0.0000 0.5000  2 Au 2.14
Rb 0.5000 0.5000 0.5000  4 Cr 3.03, 8 H 3.37

---

Entry from Alexandria via LeMat-Bulk: RbCrH2Au after structural relaxation (PBE).

Computed properties:
**Energy above the most stable polymorph in this dataset**: 0.354 eV/atom
**ρ**: 5.1 g cm⁻³

a b c (Å): 4.1805 6.2625 4.1805
angles (deg): 90.00 90.00 90.00
Closest atoms and distances in Å follow each position.
Fractional positions:
Au 0.0000 0.0000 0.0000  4 H 2.09
Rb 0.0000 0.5000 0.0000  4 Cr 2.96, 2 Au 3.13
Cr 0.5000 0.5000 0.5000  4 Rb 2.96
H 0.5000 0.0000 0.0000  2 Au 2.09
H 0.0000 0.0000 0.5000  2 Au 2.09

---

Entry from Alexandria via LeMat-Bulk: Cr2HRuAu after structural relaxation (PBE).

Computed properties:
**E**: -34.2 eV per cell
**ρ**: 11.7 g cm⁻³

a b c (Å): 3.8493 3.8493 3.8527
angles (deg): 90.00 90.00 90.00
Closest atoms and distances in Å follow each position.
Fractional positions:
Au 0.5000 0.5000 0.5000  4 Ru 2.72, 8 Cr 2.72
Ru 0.0000 0.0000 0.5000  2 H 1.93
H 0.0000 0.0000 0.0000  4 Cr 1.92, 2 Ru 1.93
Cr 0.0000 0.5000 0.0000  2 H 1.92
Cr 0.5000 0.0000 0.0000  2 H 1.92

---

Entry from Alexandria via LeMat-Bulk: Sc2CrHAu after structural relaxation (PBE).

Computed properties:
**E**: -30.5 eV per cell
**ρ**: 7.5 g cm⁻³

a b c (Å): 4.5583 4.5583 3.6247
angles (deg): 90.00 90.00 90.00
Closest atoms and distances in Å follow each position.
Fractional positions:
Sc 0.0000 0.5000 0.0000  2 H 2.28
Sc 0.5000 0.0000 0.0000  2 H 2.28
Cr 0.0000 0.0000 0.5000  2 H 1.81
Au 0.5000 0.5000 0.5000  8 Sc 2.91, 4 Cr 3.22
H 0.0000 0.0000 0.0000  2 Cr 1.81

---

Entry from Alexandria via LeMat-Bulk: V2CrHAu after structural relaxation (PBE).

Computed properties:
**E**: -34.5 eV per cell
**ρ**: 10.0 g cm⁻³

a b c (Å): 3.8656 3.8656 3.9020
angles (deg): 90.00 90.00 90.00
Closest atoms and distances in Å follow each position.
Fractional positions:
V 0.5000 0.0000 0.0000  2 H 1.93
V 0.0000 0.5000 0.0000  2 H 1.93
Au 0.5000 0.5000 0.5000  4 Cr 2.73, 8 V 2.75
H 0.0000 0.0000 0.0000  4 V 1.93, 2 Cr 1.95
Cr 0.0000 0.0000 0.5000  2 H 1.95

---

Entry from Alexandria via LeMat-Bulk: Cr2HWAu after structural relaxation (PBE).

Computed properties:
**E**: -37.6 eV per cell
**ρ**: 13.7 g cm⁻³

a b c (Å): 3.9102 3.9102 3.8536
angles (deg): 90.00 90.00 90.00
Closest atoms and distances in Å follow each position.
Fractional positions:
Cr 0.0000 0.5000 0.0000  2 H 1.96
Cr 0.5000 0.0000 0.0000  2 H 1.96
Au 0.5000 0.5000 0.5000  8 Cr 2.74, 4 W 2.76
W 0.0000 0.0000 0.5000  2 H 1.93
H 0.0000 0.0000 0.0000  2 W 1.93, 4 Cr 1.96

---

Entry from Alexandria via LeMat-Bulk: Zr2CrHAu after structural relaxation (PBE).

Computed properties:
**E**: -34.3 eV per cell
**ρ**: 9.4 g cm⁻³

a b c (Å): 4.6260 4.6260 3.5546
angles (deg): 90.00 90.00 90.00
Closest atoms and distances in Å follow each position.
Fractional positions:
Zr 0.0000 0.5000 0.0000  2 H 2.31
Zr 0.5000 0.0000 0.0000  2 H 2.31
H 0.0000 0.0000 0.0000  2 Cr 1.78
Cr 0.0000 0.0000 0.5000  2 H 1.78
Au 0.5000 0.5000 0.5000  8 Zr 2.92

---

Entry from Alexandria via LeMat-Bulk: Hf2Cr2Au after structural relaxation (PBE).

Computed properties:
**Formation energy from the elements**: -41 meV/atom
**ρ**: 12.6 g cm⁻³

a b c (Å): 6.5963 6.5963 3.9784
angles (deg): 90.00 90.00 90.00
Closest atoms and distances in Å follow each position.
Fractional positions:
Cr 0.6052 0.1052 0.0000  1 Cr 1.96
Cr 0.8948 0.6052 0.0000  1 Cr 1.96
Cr 0.3948 0.8948 0.0000  1 Cr 1.96
Cr 0.1052 0.3948 0.0000  1 Cr 1.96
Hf 0.1820 0.6820 0.5000  6 Cr 2.79-2.81
Hf 0.8180 0.3180 0.5000  6 Cr 2.79-2.81
Hf 0.3180 0.1820 0.5000  6 Cr 2.79-2.81
Hf 0.6820 0.8180 0.5000  6 Cr 2.79-2.81
Au 0.0000 0.0000 0.0000  4 Cr 2.69
Au 0.5000 0.5000 0.0000  4 Cr 2.69

---

Entry from Alexandria via LeMat-Bulk: HfCrAu3 after structural relaxation (PBE).

Computed properties:
**Energy above the most stable polymorph in this dataset**: 0.000 eV/atom
**Formation energy from the elements**: 923 meV/atom
**ρ**: 12.8 g cm⁻³

a b c (Å): 4.7428 4.7428 4.7428
angles (deg): 90.00 90.00 90.00
Closest atoms and distances in Å follow each position.
Fractional positions:
Hf 0.5000 0.5000 0.5000  12 Au 3.35
Au 0.0000 0.5000 0.0000  2 Cr 2.37
Au 0.0000 0.0000 0.5000  2 Cr 2.37
Au 0.5000 0.0000 0.0000  2 Cr 2.37
Cr 0.0000 0.0000 0.0000  6 Au 2.37

---

Entry from Alexandria via LeMat-Bulk: HfCrAu3 after structural relaxation (PBE).

Computed properties:
**Energy above the most stable polymorph in this dataset**: 0.471 eV/atom
**Formation energy from the elements**: 1394 meV/atom
**ρ**: 10.2 g cm⁻³

a b c (Å): 5.1061 5.1061 5.1061
angles (deg): 90.00 90.00 90.00
Closest atoms and distances in Å follow each position.
Fractional positions:
Hf 0.0000 0.0000 0.0000  6 Au 2.55
Cr 0.5000 0.5000 0.5000  12 Au 3.61
Au 0.0000 0.0000 0.5000  2 Hf 2.55
Au 0.0000 0.5000 0.0000  2 Hf 2.55
Au 0.5000 0.0000 0.0000  2 Hf 2.55

---

Entry from Alexandria via LeMat-Bulk: HfCrInAu2 after structural relaxation (PBE).

Computed properties:
**Formation energy from the elements**: 621 meV/atom
**ρ**: 10.8 g cm⁻³

a b c (Å): 4.9906 4.5529 4.9906
angles (deg): 90.00 90.00 90.00
Closest atoms and distances in Å follow each position.
Fractional positions:
Au 0.5000 0.0000 0.0000  2 Cr 2.50
Au 0.0000 0.0000 0.5000  2 Cr 2.50
Cr 0.0000 0.0000 0.0000  2 Hf 2.28, 4 Au 2.50
In 0.5000 0.5000 0.5000  8 Au 3.38, 4 Hf 3.53
Hf 0.0000 0.5000 0.0000  2 Cr 2.28

---

Entry from Alexandria via LeMat-Bulk: Hf2CrAuN after structural relaxation (PBE).

Computed properties:
**Formation energy from raw total energies**: -0.789 eV per atom
**ρ**: 13.5 g cm⁻³

a b c (Å): 4.5051 4.5051 3.7670
angles (deg): 90.00 90.00 90.00
Closest atoms and distances in Å follow each position.
Fractional positions:
Cr 0.0000 0.0000 0.5000  2 N 1.88
Hf 0.5000 0.0000 0.0000  2 N 2.25
Hf 0.0000 0.5000 0.0000  2 N 2.25
N 0.0000 0.0000 0.0000  2 Cr 1.88
Au 0.5000 0.5000 0.5000  8 Hf 2.94, 4 Cr 3.19

---

Entry from Alexandria via LeMat-Bulk: Hf2CrRuAu after structural relaxation (PBE).

Computed properties:
**Formation energy from the elements**: 686 meV/atom
**ρ**: 9.8 g cm⁻³

a b c (Å): 4.8230 5.1531 4.8230
angles (deg): 90.00 90.00 90.00
Closest atoms and distances in Å follow each position.
Fractional positions:
Hf 0.5000 0.0000 0.0000  2 Ru 2.41
Hf 0.0000 0.0000 0.5000  2 Ru 2.41
Cr 0.5000 0.5000 0.5000  4 Au 3.41, 8 Hf 3.53
Au 0.0000 0.5000 0.0000  2 Ru 2.58
Ru 0.0000 0.0000 0.0000  4 Hf 2.41, 2 Au 2.58

---

Entry from Alexandria via LeMat-Bulk: HfScCrAu2 after structural relaxation (PBE).

Computed properties:
**Formation energy from the elements**: 1453 meV/atom
**ρ**: 8.5 g cm⁻³

a b c (Å): 5.0728 5.0535 5.0728
angles (deg): 90.00 90.00 90.00
Closest atoms and distances in Å follow each position.
Fractional positions:
Au 0.0000 0.0000 0.5000  2 Hf 2.54
Au 0.5000 0.0000 0.0000  2 Hf 2.54
Sc 0.0000 0.5000 0.0000  2 Hf 2.53
Cr 0.5000 0.5000 0.5000  8 Au 3.58, 4 Sc 3.59
Hf 0.0000 0.0000 0.0000  2 Sc 2.53, 4 Au 2.54

---

Entry from Alexandria via LeMat-Bulk: SrHfCr2Au after structural relaxation (PBE).

Computed properties:
**Formation energy from the elements**: 797 meV/atom
**ρ**: 6.7 g cm⁻³

a b c (Å): 5.2214 5.1216 5.2214
angles (deg): 90.00 90.00 90.00
Closest atoms and distances in Å follow each position.
Fractional positions:
Cr 0.5000 0.0000 0.0000  2 Au 2.61
Cr 0.0000 0.0000 0.5000  2 Au 2.61
Sr 0.5000 0.5000 0.5000  8 Cr 3.66, 4 Hf 3.69
Hf 0.0000 0.5000 0.0000  2 Au 2.56
Au 0.0000 0.0000 0.0000  2 Hf 2.56, 4 Cr 2.61

---

Entry from Alexandria via LeMat-Bulk: HfCr2TeAu after structural relaxation (PBE).

Computed properties:
**Formation energy from raw total energies**: 1.170 eV per atom
**ρ**: 8.3 g cm⁻³

a b c (Å): 4.8794 5.1250 4.8794
angles (deg): 90.00 90.00 90.00
Closest atoms and distances in Å follow each position.
Fractional positions:
Hf 0.5000 0.5000 0.5000  4 Au 3.45, 8 Cr 3.54
Cr 0.5000 0.0000 0.0000  2 Te 2.44
Cr 0.0000 0.0000 0.5000  2 Te 2.44
Au 0.0000 0.5000 0.0000  2 Te 2.56
Te 0.0000 0.0000 0.0000  4 Cr 2.44, 2 Au 2.56

---

Entry from Alexandria via LeMat-Bulk: Hf2TlCrAu after structural relaxation (PBE).

Computed properties:
**Formation energy from the elements**: 755 meV/atom
**ρ**: 10.3 g cm⁻³

a b c (Å): 5.1311 5.1311 4.9471
angles (deg): 90.00 90.00 90.00
Closest atoms and distances in Å follow each position.
Fractional positions:
Tl 0.5000 0.5000 0.5000  8 Hf 3.56, 4 Cr 3.63
Cr 0.0000 0.0000 0.5000  2 Au 2.47
Au 0.0000 0.0000 0.0000  2 Cr 2.47, 4 Hf 2.57
Hf 0.5000 0.0000 0.0000  2 Au 2.57
Hf 0.0000 0.5000 0.0000  2 Au 2.57